No. 1
Compound: MgAl3Zn2
Source: the Alexandria database
Functional: PBE
Structure: optimized geometry

The calculation puts the volume at 424.4 Å³/cell. The formation energy comes out at 0.004 eV/atom. The energy is -2.56 eV per atom.

It has space group Immm (No. 71), with a = 4.102 Å, b = 8.321 Å, c = 12.436 Å, α = 90.00°, β = 90.00° and γ = 90.00°. The distinct sites, in fractional coordinates, are Mg at (0.000, 0.000, 0.129), Al at (0.000, 0.214, 0.320), Al at (0.000, 0.337, 0.000), Zn at (0.000, 0.351, 0.500) and Zn at (0.000, 0.500, 0.196).

---

No. 2
Compound: GaSiW2
Source: the Alexandria database
Functional: PBE
Structure: optimized geometry

The calculation puts the volume at 263.1 Å³/cell. The calculation puts the energy above the most stable polymorph in this dataset at 0.338 eV/atom. The energy is -7.96 eV per atom. For the energy relative to the elements, uncorrected, the calculation gives 0.629 eV/atom.

It has space group I-42d (No. 122), with a = 7.034 Å, b = 7.034 Å, c = 5.316 Å, α = 90.00°, β = 90.00° and γ = 90.00°. The distinct sites, in fractional coordinates, are Ga at (0.000, 0.000, 0.000), Si at (0.000, 0.000, 0.500) and W at (0.215, 0.250, 0.625).

---

No. 3
Compound: CsCd2MoPb
Source: the Alexandria database
Functional: PBE
Structure: optimized geometry

The calculation puts the volume at 190.6 Å³/cell. The formation energy comes out at 1.092 eV/atom. The energy is -2.35 eV per atom.

It has space group P4/mmm (No. 123), with a = 5.547 Å, b = 5.547 Å, c = 6.195 Å, α = 90.00°, β = 90.00° and γ = 90.00°. The distinct sites, in fractional coordinates, are Cs at (0.000, 0.000, 0.000), Cd at (0.000, 0.500, 0.500), Mo at (0.000, 0.000, 0.500) and Pb at (0.500, 0.500, 0.000).

---

No. 4
Compound: MnIrOs
Source: the Alexandria database
Functional: PBE
Structure: optimized geometry

The calculation puts the volume at 40.6 Å³/cell. The calculation puts the energy above the most stable polymorph in this dataset at 0.040 eV/atom. The formation energy comes out at 0.031 eV/atom. The energy is -9.72 eV per atom.

It has space group P3m1 (No. 156), with a = 2.6902 Å, b = 2.6902 Å, c = 6.4842 Å, α = 90.00°, β = 90.00° and γ = 120.00°. The distinct sites, in fractional coordinates, are Mn at (0.0000, 0.0000, 0.0000), Ir at (0.3333, 0.6667, 0.6748) and Os at (0.6667, 0.3333, 0.3158).

---

No. 5
Compound: CsBrNF2
Source: the Alexandria database
Functional: PBE
Structure: optimized geometry

The calculation puts the volume at 97.1 Å³/cell. The calculation puts the energy above the most stable polymorph in this dataset at 0.000 eV/atom. The energy is -3.35 eV per atom. For the energy relative to the elements, uncorrected, the calculation gives -0.431 eV/atom.

It has space group P4/mmm (No. 123), with a = 5.067 Å, b = 5.067 Å, c = 3.782 Å, α = 90.00°, β = 90.00° and γ = 90.00°. The distinct sites, in fractional coordinates, are Cs at (0.000, 0.000, 0.000), Br at (0.500, 0.500, 0.500), N at (0.500, 0.500, 0.000) and F at (0.000, 0.500, 0.500).

---

No. 6
Compound: NaTiSO
Source: the Alexandria database
Functional: PBE
Structure: optimized geometry

The calculation puts the volume at 171.8 Å³/cell. The energy is -6.35 eV per atom. For the energy relative to the elements, uncorrected, the calculation gives -1.776 eV/atom.

It has space group R3m (No. 160, hexagonal axes), with a = 3.2593 Å, b = 3.2593 Å, c = 18.6792 Å, α = 90.00°, β = 90.00° and γ = 120.00°. The distinct sites, in fractional coordinates, are Na at (0.0000, 0.0000, 0.0000), Ti at (0.0000, 0.0000, 0.4737), S at (0.0000, 0.0000, 0.2223) and O at (0.0000, 0.0000, 0.7498).

---

No. 7
Compound: ZrOs3Pt
Source: the Alexandria database
Functional: PBE
Structure: optimized geometry

The calculation puts the volume at 105.4 Å³/cell. The calculation puts the energy above the most stable polymorph in this dataset at 0.000 eV/atom. The formation energy comes out at 1.975 eV/atom. The energy is -7.68 eV per atom.

It has space group Pm-3m (No. 221), with a = 4.723 Å, b = 4.723 Å, c = 4.723 Å, α = 90.00°, β = 90.00° and γ = 90.00°. The distinct sites, in fractional coordinates, are Zr at (0.000, 0.000, 0.000), Os at (0.000, 0.500, 0.500) and Pt at (0.500, 0.500, 0.500).

---

No. 8
Compound: Th4AlRe
Source: the Alexandria database
Functional: PBE
Structure: optimized geometry

The calculation puts the volume at 330.8 Å³/cell. The formation energy comes out at -0.120 eV/atom. The energy is -7.76 eV per atom.

It has space group P4/mcc (No. 124), with a = 7.414 Å, b = 7.414 Å, c = 6.018 Å, α = 90.00°, β = 90.00° and γ = 90.00°. The distinct sites, in fractional coordinates, are Th at (0.149, 0.323, 0.000), Al at (0.500, 0.500, 0.250) and Re at (0.000, 0.000, 0.250).

---

No. 9
Compound: Ho2Tm2Ni15
Source: the Alexandria database
Functional: PBE
Structure: optimized geometry

The calculation puts the volume at 784.2 Å³/cell. The formation energy comes out at -0.265 eV/atom. The energy is -5.78 eV per atom.

It has space group R-3m (No. 166, hexagonal axes), with a = 8.4819 Å, b = 8.4819 Å, c = 12.5863 Å, α = 90.00°, β = 90.00° and γ = 120.00°. The distinct sites, in fractional coordinates, are Ho at (0.0000, 0.0000, 0.1392), Tm at (0.0000, 0.0000, 0.3893), Ni at (0.0000, 0.3095, 0.5000), Ni at (0.0000, 0.5000, 0.0000) and Ni at (0.0104, 0.5052, 0.6564).

---

No. 10
Compound: Pa2BeRhN5
Source: the Alexandria database
Functional: PBE
Structure: optimized geometry

The calculation puts the volume at 401.9 Å³/cell. The energy is -8.94 eV per atom. For the energy relative to the elements, uncorrected, the calculation gives -0.973 eV/atom.

It has space group Cmc2_1 (No. 36), with a = 3.291 Å, b = 13.381 Å, c = 9.126 Å, α = 90.00°, β = 90.00° and γ = 90.00°. The distinct sites, in fractional coordinates, are Pa at (0.000, 0.122, 0.000), Pa at (0.000, 0.124, 0.404), Be at (0.000, 0.484, 0.183), Rh at (0.000, 0.208, 0.707), N at (0.000, 0.048, 0.734), N at (0.000, 0.296, 0.057), N at (0.000, 0.296, 0.356), N at (0.000, 0.373, 0.720) and N at (0.000, 0.500, 0.488).

---

No. 11
Compound: MnRhSe2
Source: the Alexandria database
Functional: PBE
Structure: optimized geometry

The calculation puts the volume at 85.6 Å³/cell. The calculation puts the energy above the most stable polymorph in this dataset at 0.000 eV/atom. The energy is -6.20 eV per atom. For the energy relative to the elements, uncorrected, the calculation gives -0.328 eV/atom.

It has space group Pm (No. 6), with a = 3.838 Å, b = 3.837 Å, c = 5.814 Å, α = 90.00°, β = 91.02° and γ = 90.00°. The distinct sites, in fractional coordinates, are Mn at (0.000, 0.000, 0.000), Rh at (0.502, 0.500, 0.000), Se at (0.010, 0.500, 0.268) and Se at (0.491, 0.000, 0.732).

---

No. 12
Compound: Zn5Ni12B2
Source: the Alexandria database
Functional: PBE
Structure: optimized geometry

The calculation puts the volume at 431.2 Å³/cell. The formation energy comes out at -0.096 eV/atom. The energy is -4.79 eV per atom.

It has space group C2/m (No. 12), with a = 10.648 Å, b = 6.704 Å, c = 6.096 Å, α = 90.00°, β = 97.65° and γ = 90.00°. The distinct sites, in fractional coordinates, are Zn at (0.000, 0.000, 0.000), Zn at (0.199, 0.500, 0.460), Zn at (0.244, 0.000, 0.101), Ni at (0.032, 0.500, 0.705), Ni at (0.080, 0.000, 0.380), Ni at (0.112, 0.311, 0.112), Ni at (0.142, 0.182, 0.740) and B at (0.000, 0.255, 0.500).